1.
This record from Alexandria describes a geometry-optimized Ca2Si3SnPd4 structure. The functional is PBE-GGA.

Results
M_tot in μB per atom: 0.00
Fermi-level density of states in states/eV/f.u.: 4.57
E_form (uncorrected) in eV per atom: -0.7121
DFT total energy in eV for the cell shown: -52.167
V in A^3/atom: 18.94

Cell and atoms, written as CIF:
```
data_Ca2Si3SnPd4
_chemical_formula_sum 'Ca2 Si3 Sn1 Pd4'
_cell_length_a 4.247
_cell_length_b 4.247
_cell_length_c 10.499
_cell_angle_alpha 90.00
_cell_angle_beta 90.00
_cell_angle_gamma 90.00
_symmetry_space_group_name_H-M 'P -4 m 2'
_symmetry_Int_Tables_number 115
loop_
_symmetry_equiv_pos_as_xyz
'x,y,z'
'y,-x,-z'
'-x,-y,z'
'-y,x,-z'
'-x,y,z'
'-y,-x,-z'
'x,-y,z'
'y,x,-z'
loop_
_atom_site_label
_atom_site_type_symbol
_atom_site_fract_x
_atom_site_fract_y
_atom_site_fract_z
Ca1 Ca 0.000 0.500 0.241
Si1 Si 0.000 0.500 0.881
Si2 Si 0.500 0.500 0.500
Sn1 Sn 0.000 0.000 0.500
Pd1 Pd 0.000 0.000 0.000
Pd2 Pd 0.000 0.500 0.652
Pd3 Pd 0.500 0.500 0.000
```

***

2.
This record from Alexandria describes a geometry-optimized SrCa2SiPd structure. The functional is PBE-GGA.

Results
M_tot in μB per atom: 0.00
Fermi-level density of states in states/eV/f.u.: 1.57
E_form (uncorrected) in eV per atom: -0.1893
DFT total energy in eV for the cell shown: -17.247
V in A^3/atom: 31.02

Cell and atoms, written as CIF:
```
data_SrCa2SiPd
_chemical_formula_sum 'Sr1 Ca2 Si1 Pd1'
_cell_length_a 5.730
_cell_length_b 5.730
_cell_length_c 4.724
_cell_angle_alpha 90.00
_cell_angle_beta 90.00
_cell_angle_gamma 90.00
_symmetry_space_group_name_H-M 'P 4/m m m'
_symmetry_Int_Tables_number 123
_symmetry_space_group_name_Hall '-P 4 2'
loop_
_atom_site_label
_atom_site_type_symbol
_atom_site_fract_x
_atom_site_fract_y
_atom_site_fract_z
Sr1 Sr 0.000 0.000 0.000
Ca1 Ca 0.000 0.500 0.500
Si1 Si 0.500 0.500 0.500
Pd1 Pd 0.500 0.500 0.000
```

***

3.
This record from Alexandria describes a geometry-optimized CaTbSiPd structure. The functional is PBE-GGA.

Results
M_tot in μB per atom: 0.00
Fermi-level density of states in states/eV/f.u.: 2.32
E_form (uncorrected) in eV per atom: -0.6247
DFT total energy in eV for the cell shown: -78.986
V in A^3/atom: 22.03

Cell and atoms, written as CIF:
```
data_CaTbSiPd
_chemical_formula_sum 'Ca4 Tb4 Si4 Pd4'
_cell_length_a 7.064
_cell_length_b 7.064
_cell_length_c 7.064
_cell_angle_alpha 90.00
_cell_angle_beta 90.00
_cell_angle_gamma 90.00
_symmetry_space_group_name_H-M 'F -4 3 m'
_symmetry_Int_Tables_number 216
_symmetry_space_group_name_Hall 'F -4 2 3'
loop_
_atom_site_label
_atom_site_type_symbol
_atom_site_fract_x
_atom_site_fract_y
_atom_site_fract_z
Ca1 Ca 0.000 0.000 0.000
Tb1 Tb 0.000 0.000 0.500
Si1 Si 0.250 0.250 0.750
Pd1 Pd 0.250 0.250 0.250
```

***

4.
This record from Alexandria describes a geometry-optimized CaV2SiPd structure. The functional is PBE-GGA.

Results
M_tot in μB per atom: 0.00
Fermi-level density of states in states/eV/f.u.: 10.28
E_form (uncorrected) in eV per atom: 0.7002
DFT total energy in eV for the cell shown: -27.354
V in A^3/atom: 21.03

Cell and atoms, written as CIF:
```
data_CaV2SiPd
_chemical_formula_sum 'Ca1 V2 Si1 Pd1'
_cell_length_a 4.467
_cell_length_b 4.467
_cell_length_c 5.270
_cell_angle_alpha 90.00
_cell_angle_beta 90.00
_cell_angle_gamma 90.00
_symmetry_space_group_name_H-M 'P 4/m m m'
_symmetry_Int_Tables_number 123
_symmetry_space_group_name_Hall '-P 4 2'
loop_
_atom_site_label
_atom_site_type_symbol
_atom_site_fract_x
_atom_site_fract_y
_atom_site_fract_z
Ca1 Ca 0.000 0.000 0.000
V1 V 0.000 0.500 0.500
Si1 Si 0.000 0.000 0.500
Pd1 Pd 0.500 0.500 0.000
```

***

5.
This record from Alexandria describes a geometry-optimized Ca2ZnSi3Pd4 structure. The functional is PBE-GGA.

Results
M_tot in μB per atom: 0.00
Fermi-level density of states in states/eV/f.u.: 4.85
E_form (uncorrected) in eV per atom: -0.7289
DFT total energy in eV for the cell shown: -49.607
V in A^3/atom: 18.13

Cell and atoms, written as CIF:
```
data_Ca2ZnSi3Pd4
_chemical_formula_sum 'Ca2 Zn1 Si3 Pd4'
_cell_length_a 4.314
_cell_length_b 4.314
_cell_length_c 9.745
_cell_angle_alpha 90.00
_cell_angle_beta 90.00
_cell_angle_gamma 90.00
_symmetry_space_group_name_H-M 'P -4 m 2'
_symmetry_Int_Tables_number 115
loop_
_symmetry_equiv_pos_as_xyz
'x,y,z'
'y,-x,-z'
'-x,-y,z'
'-y,x,-z'
'-x,y,z'
'-y,-x,-z'
'x,-y,z'
'y,x,-z'
loop_
_atom_site_label
_atom_site_type_symbol
_atom_site_fract_x
_atom_site_fract_y
_atom_site_fract_z
Ca1 Ca 0.000 0.500 0.249
Zn1 Zn 0.500 0.500 0.000
Si1 Si 0.000 0.000 0.000
Si2 Si 0.000 0.500 0.622
Pd1 Pd 0.000 0.000 0.500
Pd2 Pd 0.000 0.500 0.867
Pd3 Pd 0.500 0.500 0.500
```

***

6.
This record from Alexandria describes a geometry-optimized Ca2Zn2SiPd5 structure. The functional is PBE-GGA.

Results
M_tot in μB per atom: 0.00
Fermi-level density of states in states/eV/f.u.: 2.92
E_form (uncorrected) in eV per atom: -0.6193
DFT total energy in eV for the cell shown: -88.263
V in A^3/atom: 17.34

Cell and atoms, written as CIF:
```
data_Ca2Zn2SiPd5
_chemical_formula_sum 'Ca4 Zn4 Si2 Pd10'
_cell_length_a 9.965
_cell_length_b 9.965
_cell_length_c 3.493
_cell_angle_alpha 90.00
_cell_angle_beta 90.00
_cell_angle_gamma 90.00
_symmetry_space_group_name_H-M 'P 4/m b m'
_symmetry_Int_Tables_number 127
_symmetry_space_group_name_Hall '-P 4 2ab'
loop_
_atom_site_label
_atom_site_type_symbol
_atom_site_fract_x
_atom_site_fract_y
_atom_site_fract_z
Ca1 Ca 0.172 0.328 0.000
Zn1 Zn 0.128 0.628 0.000
Si1 Si 0.000 0.000 0.000
Pd1 Pd 0.000 0.500 0.500
Pd2 Pd 0.062 0.808 0.500
```